Rb2GaSb2: relaxed, GGA-PBE.

Cell and atoms, written as extended XYZ:
```
10
Lattice="7.186 0.000 0.000 0.000 7.728 0.000 -3.593 -3.864 7.493" Properties=species:S:1:pos:R:3 pbc="T T T"
Ga 1.797 3.864 0.000
Ga 5.390 3.864 0.000
Rb 0.000 1.382 2.147
Rb 0.000 -2.482 5.346
Rb 3.593 2.482 5.346
Rb 3.593 6.346 2.147
Sb 3.593 -1.398 5.986
Sb 3.593 2.466 1.507
Sb 0.000 1.398 5.986
Sb 0.000 5.261 1.507
```

Summary:
Energy = -2.954 eV per atom
Calculated volume = 41.610 A^3/atom
Density of states at the Fermi level = 4.67 states/eV/f.u.
Symmetry = Ibam (72)